Record 1
VASP calculation (PBE) on crystalline PmSnO at its relaxed geometry.

```
PmSnO
1.0
3.832 0.000 0.000
-1.916 3.319 0.000
0.000 0.000 6.011
Pm Sn O
1 1 1
Cartesian
0.000 0.000 0.000
1.916 1.106 3.006
0.000 2.213 0.000
```

Results
- energy (eV per cell) = -18.8
- energy relative to the lowest polymorph listed for this composition (meV per atom) = 278
- energy relative to the elements, uncorrected (meV per atom) = -1688

Record 2
VASP calculation (PBE) on crystalline FeHg4Te2 at its relaxed geometry.

```
FeHg4Te2
1.0
5.466 0.000 0.000
0.000 5.466 0.000
0.000 0.000 14.343
Fe Hg Te
2 8 4
Cartesian
0.000 0.000 0.000
2.733 2.733 7.172
0.000 0.000 2.610
0.000 0.000 11.733
0.000 2.733 0.000
0.000 2.733 7.172
2.733 0.000 0.000
2.733 0.000 7.172
2.733 2.733 4.561
2.733 2.733 9.782
0.000 0.000 5.447
0.000 0.000 8.896
2.733 2.733 1.725
2.733 2.733 12.619
```

Results
- energy (eV per cell) = -27.2
- energy relative to the elements, uncorrected (meV per atom) = 333

Record 3
VASP calculation (PBE) on crystalline CeY4N4 at its relaxed geometry.

```
CeY4N4
1.0
-2.858 2.858 5.445
2.858 -2.858 5.445
2.858 2.858 -5.445
Ce Y N
1 4 4
Cartesian
0.000 0.000 0.000
2.858 0.000 0.000
0.000 0.000 3.087
0.000 2.858 0.000
0.000 0.000 7.802
1.485 -1.485 4.120
1.372 1.372 1.324
-1.485 1.485 4.120
1.485 1.485 6.769
```

Results
- energy (eV per cell) = -72.3
- energy relative to the lowest polymorph listed for this composition (meV per atom) = 621
- energy relative to the elements, uncorrected (meV per atom) = -803